TbIn2Sn2 after structural relaxation, computed with GGA-PBE.

* ρ: 7.90 g/cm³
* energy above the lowest structure with this stoichiometry: 0.00 eV/f.u.
* total DFT energy (no corrections): -3.93 eV/atom
* DOS at the Fermi energy: 6.38 states/eV/cell
* energy of formation: -311 meV per atom

a b c (Å): 4.4359 4.4837 13.4166
angles (deg): 90.00 99.52 90.00
Fractional positions:
Tb 0.3453 0.2500 0.6906
Tb 0.6547 0.7500 0.3094
In 0.0495 0.7500 0.0991
In 0.4470 0.7500 0.8941
In 0.9505 0.2500 0.9009
In 0.5530 0.2500 0.1059
Sn 0.7501 0.2500 0.5003
Sn 0.2499 0.7500 0.4997
Sn 0.8553 0.7500 0.7106
Sn 0.1447 0.2500 0.2894


SrLiSnGe after structural relaxation, computed with GGA-PBE.

* ρ: 4.44 g/cm³
* total DFT energy (no corrections): -3.39 eV/atom
* DOS at the Fermi energy: 1.42 states/eV/cell
* energy of formation: -332 meV per atom

a b c (Å): 4.2240 5.1283 5.8356
angles (deg): 109.67 90.00 114.32
Fractional positions:
Sr 0.6276 0.2553 0.5051
Li 0.8362 0.6723 0.1113
Sn 0.1085 0.2169 0.0073
Ge 0.3940 0.7880 0.8437


CeNp2S6 after structural relaxation, computed with GGA-PBE.

* ρ: 7.09 g/cm³
* energy above the lowest structure with this stoichiometry: 0.38 eV/f.u.
* formation energy without anion corrections: -12.1 eV per formula unit
* total DFT energy (no corrections): -7.63 eV/atom
* DOS at the Fermi energy: 22.28 states/eV/cell

a b c (Å): 4.1499 7.2504 7.2504
angles (deg): 120.00 90.00 90.00
Last column: magnetic moment on the atom in μB.
Fractional positions:
Ce 0.5000 0.0000 0.0000  0.36
Np 0.2717 0.6667 0.3333  3.22
Np 0.7283 0.3333 0.6667  3.22
S 0.2423 0.6150 0.6959  -0.13
S 0.2423 0.0809 0.3850  -0.13
S 0.2423 0.3041 0.9191  -0.13
S 0.7577 0.3850 0.3041  -0.13
S 0.7577 0.9191 0.6150  -0.13
S 0.7577 0.6959 0.0809  -0.13


Mn3Tl5Br12 after structural relaxation, computed with GGA-PBE.

* ρ: 5.49 g/cm³
* formation energy without anion corrections: -15.8 eV per formula unit
* total DFT energy (no corrections): -3.76 eV/atom
* DOS at the Fermi energy: 10.46 states/eV/cell

a b c (Å): 4.1017 13.5221 13.5221
angles (deg): 120.00 90.00 90.00
Last column: magnetic moment on the atom in μB.
Fractional positions:
Mn 0.5000 0.6670 0.0000  4.20
Mn 0.5000 0.3330 0.3330  4.20
Mn 0.5000 0.0000 0.6670  4.20
Tl 0.0000 0.3333 0.6667  0.01
Tl 0.0000 0.6667 0.3333  0.01
Tl 0.0000 0.2814 0.0000  0.01
Tl 0.0000 0.7186 0.7186  0.01
Tl 0.0000 0.0000 0.2814  0.01
Br 0.0000 0.8027 0.0000  0.05
Br 0.0000 0.1973 0.1973  0.05
Br 0.0000 0.0000 0.8027  0.05
Br 0.0000 0.5337 0.0000  0.05
Br 0.0000 0.4663 0.4663  0.05
Br 0.0000 0.0000 0.5337  0.05
Br 0.5000 0.2203 0.4396  0.01
Br 0.5000 0.2194 0.7797  0.01
Br 0.5000 0.7797 0.2194  0.01
Br 0.5000 0.5604 0.7806  0.01
Br 0.5000 0.7806 0.5604  0.01
Br 0.5000 0.4396 0.2203  0.01


SnPb5Au3 after structural relaxation, computed with GGA-PBE.

* ρ: 10.75 g/cm³
* total DFT energy (no corrections): -3.56 eV/atom
* DOS at the Fermi energy: 9.18 states/eV/cell
* energy of formation: 38 meV per atom

a b c (Å): 7.8616 7.8616 9.8523
angles (deg): 74.74 74.74 69.23
Fractional positions:
Sn 0.0865 0.0865 0.7129
Sn 0.9135 0.9135 0.2871
Pb 0.9455 0.3960 0.3462
Pb 0.3145 0.6855 0.0000
Pb 0.7535 0.7535 0.0489
Pb 0.5088 0.5088 0.3147
Pb 0.4912 0.4912 0.6853
Pb 0.2465 0.2465 0.9511
Pb 0.3960 0.9455 0.3462
Pb 0.6855 0.3145 0.0000
Pb 0.0545 0.6040 0.6538
Pb 0.6040 0.0545 0.6538
Au 0.6759 0.6759 0.8068
Au 0.7152 0.7152 0.4932
Au 0.0000 0.0000 0.0000
Au 0.0000 0.0000 0.5000
Au 0.3241 0.3241 0.1932
Au 0.2848 0.2848 0.5068


Tb2Sm5Ho6 after structural relaxation, computed with GGA-PBE.

* ρ: 8.04 g/cm³
* total DFT energy (no corrections): -4.55 eV/atom
* DOS at the Fermi energy: 31.38 states/eV/cell
* energy of formation: 95 meV per atom

a b c (Å): 3.5801 11.6340 20.4215
angles (deg): 90.00 90.00 90.00
Fractional positions:
Tb 0.0000 0.3291 0.2893
Tb 0.0000 0.6709 0.7107
Tb 0.0000 0.8291 0.2107
Tb 0.0000 0.1709 0.7893
Sm 0.5000 0.3010 0.4499
Sm 0.5000 0.6990 0.5501
Sm 0.5000 0.8010 0.0501
Sm 0.5000 0.1990 0.9499
Sm 0.5000 0.5850 0.2732
Sm 0.5000 0.4150 0.7268
Sm 0.5000 0.0850 0.2268
Sm 0.5000 0.9150 0.7732
Sm 0.5000 0.5000 0.0000
Sm 0.5000 0.0000 0.5000
Ho 0.0000 0.0807 0.3686
Ho 0.0000 0.9193 0.6314
Ho 0.0000 0.5807 0.1314
Ho 0.0000 0.4193 0.8686
Ho 0.5000 0.3247 0.1366
Ho 0.5000 0.6753 0.8634
Ho 0.5000 0.8247 0.3634
Ho 0.5000 0.1753 0.6366
Ho 0.0000 0.5603 0.4192
Ho 0.0000 0.4397 0.5808
Ho 0.0000 0.0603 0.0808
Ho 0.0000 0.9397 0.9192


In2Hg4I after structural relaxation, computed with GGA-PBE.

* ρ: 8.57 g/cm³
* energy above the lowest structure with this stoichiometry: 0.06 eV/f.u.
* formation energy without anion corrections: -0.6 eV per formula unit
* total DFT energy (no corrections): -1.27 eV/atom
* DOS at the Fermi energy: 1.11 states/eV/cell

a b c (Å): 4.6501 4.6062 12.4330
angles (deg): 100.67 90.04 59.64
Fractional positions:
I 0.0000 0.0000 0.0000
Hg 0.4364 0.1270 0.6922
Hg 0.1454 0.7091 0.5638
Hg 0.5636 0.8730 0.3078
Hg 0.8546 0.2909 0.4362
In 0.7278 0.5438 0.8214
In 0.2722 0.4562 0.1786


Al2TlIrW after structural relaxation, computed with GGA-PBE.

* ρ: 8.71 g/cm³
* total DFT energy (no corrections): -5.49 eV/atom
* DOS at the Fermi energy: 4.87 states/eV/cell
* energy of formation: 840 meV per atom

a b c (Å): 5.0330 4.7766 5.0330
angles (deg): 90.00 90.00 90.00
Fractional positions:
Tl 0.5000 0.5000 0.5000
Ir 0.0000 0.5000 0.0000
Al 0.0000 0.0000 0.5000
Al 0.5000 0.0000 0.0000
W 0.0000 0.0000 0.0000


Ca6Sb3N after structural relaxation, computed with GGA-PBE.

* ρ: 3.09 g/cm³
* formation energy without anion corrections: -9.5 eV per formula unit
* total DFT energy (no corrections): -4.22 eV/atom

a b c (Å): 7.2880 9.6800 9.6800
angles (deg): 103.11 90.00 90.00
Fractional positions:
Ca 0.2068 0.6754 0.6482
Ca 0.7068 0.6482 0.6754
Ca 0.1642 0.3998 0.8862
Ca 0.6642 0.8862 0.3998
Ca 0.1303 0.0569 0.9431
Ca 0.7108 0.2128 0.7872
Ca 0.2108 0.7872 0.2128
Ca 0.6303 0.9431 0.0569
Ca 0.1642 0.1138 0.6002
Ca 0.6642 0.6002 0.1138
Ca 0.2068 0.3518 0.3246
Ca 0.7068 0.3246 0.3518
Sb 0.4749 0.9252 0.7105
Sb 0.9749 0.7105 0.9252
Sb 0.4359 0.3880 0.6120
Sb 0.9359 0.6120 0.3880
Sb 0.9749 0.0748 0.2895
Sb 0.4749 0.2895 0.0748
N 0.0167 0.1946 0.8054
N 0.5167 0.8054 0.1946


Na3Mn2NiS6 after structural relaxation, computed with GGA-PBE.

* ρ: 3.31 g/cm³
* formation energy without anion corrections: -8.4 eV per formula unit
* total DFT energy (no corrections): -5.11 eV/atom
* DOS at the Fermi energy: 5.04 states/eV/cell

a b c (Å): 6.1543 6.1543 6.8905
angles (deg): 98.54 98.54 120.05
Last column: magnetic moment on the atom in μB.
Fractional positions:
Na 0.1671 0.8329 0.5000  0.01
Na 0.8329 0.1671 0.5000  0.01
Na 0.5000 0.5000 0.5000  0.01
Mn 0.3332 0.6668 0.0000  3.48
Mn 0.6668 0.3332 0.0000  3.48
Ni 0.0000 0.0000 0.0000  1.14
S 0.9340 0.6019 0.8027  0.03
S 0.7338 0.7338 0.1976  0.03
S 0.0660 0.3981 0.1973  0.03
S 0.6019 0.9340 0.8027  0.03
S 0.2662 0.2662 0.8024  0.03
S 0.3981 0.0660 0.1973  0.03